(1)
## Nd2SmPd (GGA-PBE)

Data for a relaxed structure of Nd2SmPd.

ΔH_f (0 K) = -0.3210 eV per atom
Total magnetization = 0.0 μB per formula unit

a b c (Å): 3.7008 3.7008 8.5862
angles (deg): 90.00 90.00 90.00
Closest atoms and distances in Å follow each position.
Atoms (fractional coordinates):
Nd: 0.0000 0.0000 0.7993  4 Pd 3.13, 1 Nd 3.45
Nd: 0.0000 0.0000 0.2007  4 Pd 3.13, 1 Nd 3.45
Pd: 0.5000 0.5000 0.0000  8 Nd 3.13
Sm: 0.5000 0.5000 0.5000  8 Nd 3.67, 4 Sm 3.70

=====

(2)
## NdSm2Pd (GGA-PBE)

Data for a relaxed structure of NdSm2Pd.

ΔH_f (0 K) = -0.2768 eV per atom
Total magnetization = 0.0 μB per formula unit

a b c (Å): 3.9070 3.9070 9.7409
angles (deg): 78.43 78.43 60.00
Closest atoms and distances in Å follow each position.
Atoms (fractional coordinates):
Nd: 0.5006 0.5006 0.4982  6 Sm 3.69-3.72, 6 Nd 3.91
Sm: 0.2700 0.2700 0.1901  3 Pd 2.88
Sm: 0.0631 0.0631 0.8106  3 Pd 2.89
Pd: 0.6663 0.6663 0.0011  6 Sm 2.88-2.89

=====

(3)
## NdSmPd (GGA-PBE)

Data for a relaxed structure of NdSmPd.

ΔH_f (0 K) = -0.3806 eV per atom
Total magnetization = 0.0 μB per formula unit

a b c (Å): 5.0183 5.0183 5.0183
angles (deg): 60.00 60.00 60.00
Closest atoms and distances in Å follow each position.
Atoms (fractional coordinates):
Nd: 0.0000 0.0000 0.0000  4 Pd 3.07
Pd: 0.2500 0.2500 0.2500  4 Nd 3.07, 4 Sm 3.07
Sm: 0.5000 0.5000 0.5000  4 Pd 3.07

=====

(4)
## NdSmPd (GGA-PBE)

Data for a relaxed structure of NdSmPd.

ΔH_f (0 K) = -0.4782 eV per atom
Total magnetization = 0.0 μB per formula unit

a b c (Å): 7.6182 7.6182 9.8602
angles (deg): 90.00 90.00 120.00
Closest atoms and distances in Å follow each position.
Atoms (fractional coordinates):
Nd: 0.7354 0.7354 0.5000  2 Pd 2.84
Nd: 0.2646 0.0000 0.5000  2 Pd 2.84
Nd: 0.0000 0.2646 0.5000  2 Pd 2.84
Nd: 0.2646 0.0000 0.0000  2 Pd 2.84
Nd: 0.7354 0.7354 0.0000  2 Pd 2.84
Nd: 0.0000 0.2646 0.0000  2 Pd 2.84
Sm: 0.9998 0.5956 0.2500  5 Pd 3.08-3.39
Sm: 0.4042 0.4044 0.7500  5 Pd 3.08-3.39
Sm: 0.5956 0.9998 0.7500  5 Pd 3.08-3.39
Sm: 0.0002 0.5958 0.7500  5 Pd 3.08-3.39
Sm: 0.5958 0.0002 0.2500  5 Pd 3.08-3.39
Sm: 0.4044 0.4042 0.2500  5 Pd 3.08-3.39
Pd: 0.3333 0.6667 0.9993  3 Nd 2.84
Pd: 0.3333 0.6667 0.5007  3 Nd 2.84
Pd: 0.0000 0.0000 0.7500  3 Sm 3.08, 6 Nd 3.18
Pd: 0.6667 0.3333 0.4993  3 Nd 2.84
Pd: 0.6667 0.3333 0.0007  3 Nd 2.84
Pd: 0.0000 0.0000 0.2500  3 Sm 3.08, 6 Nd 3.18

=====

(5)
## NdSm6Pd3 (GGA-PBE)

Data for a relaxed structure of NdSm6Pd3.

ΔH_f (0 K) = -0.4488 eV per atom
Total magnetization = 0.0 μB per formula unit

a b c (Å): 7.3196 8.9244 8.9244
angles (deg): 97.34 90.00 90.00
Closest atoms and distances in Å follow each position.
Atoms (fractional coordinates):
Sm: 0.6685 0.6302 0.7127  4 Pd 2.81-2.97
Sm: 0.1590 0.0350 0.9650  4 Pd 3.16-3.18
Sm: 0.8230 0.9682 0.5799  2 Pd 3.02-3.15
Sm: 0.3230 0.0318 0.4201  2 Pd 3.02-3.15
Sm: 0.5180 0.2336 0.7664  3 Pd 2.85-2.87
Sm: 0.1685 0.3698 0.2873  4 Pd 2.81-2.97
Sm: 0.6590 0.9650 0.0350  4 Pd 3.16-3.18
Sm: 0.6685 0.2873 0.3698  4 Pd 2.81-2.97
Sm: 0.0180 0.7664 0.2336  3 Pd 2.85-2.87
Sm: 0.8230 0.4201 0.0318  2 Pd 3.02-3.15
Sm: 0.1685 0.7127 0.6302  4 Pd 2.81-2.97
Sm: 0.3230 0.5799 0.9682  2 Pd 3.02-3.15
Nd: 0.0363 0.3212 0.6788  1 Pd 2.89
Nd: 0.5363 0.6788 0.3212  1 Pd 2.89
Pd: 0.9563 0.7194 0.9135  5 Sm 2.81-3.15
Pd: 0.9563 0.0865 0.2806  5 Sm 2.81-3.15
Pd: 0.3762 0.4314 0.5686  5 Sm 2.85-2.97, 1 Nd 2.89
Pd: 0.4563 0.9135 0.7194  5 Sm 2.81-3.15
Pd: 0.4563 0.2806 0.0865  5 Sm 2.81-3.15
Pd: 0.8762 0.5686 0.4314  5 Sm 2.85-2.97, 1 Nd 2.89

=====

(6)
## Nd2SmPd (GGA-PBE)

Data for a relaxed structure of Nd2SmPd.

ΔH_f (0 K) = -0.2486 eV per atom
Total magnetization = 0.0 μB per formula unit

a b c (Å): 3.9053 3.9053 9.8434
angles (deg): 78.56 78.56 60.00
Closest atoms and distances in Å follow each position.
Atoms (fractional coordinates):
Pd: 0.6666 0.6666 0.0003  6 Nd 2.92-2.93
Nd: 0.0647 0.0647 0.8058  3 Pd 2.93
Nd: 0.2686 0.2686 0.1941  3 Pd 2.92
Sm: 0.5001 0.5001 0.4998  6 Nd 3.70, 6 Sm 3.91